## Li7Mn4O12 (PBE+U)

Data for a relaxed Li7Mn4O12 crystal.

The crystal system is monoclinic. Its size of the total moment is 0.99 μB/f.u. The value obtained for the final energy is -283.681 eV/cell. The calculation puts the density of states at the Fermi level at 17.19 states/eV per cell.

The space group is C2/m (No. 12) and the conventional cell measures 5.005, 8.633 and 9.729 Å, with angles of 90.00, 99.32 and 90.00 degrees. Symmetry generates all atoms from Li at (0.000, 0.000, 0.000), Li at (0.241, 0.500, 0.252), Li at (0.243, 0.344, 0.749), Mn at (0.000, 0.167, 0.500), Mn at (0.000, 0.332, 0.000), O at (0.090, 0.000, 0.384), O at (0.106, 0.500, 0.886), O at (0.143, 0.179, 0.888) and O at (0.150, 0.314, 0.386).